First-principles (PBE) data for an optimized crystal structure of U3CdSe6, as listed in the Alexandria database.

Calculated values
Total magnetic moment = 2.912 μB/f.u.
Formation energy without anion corrections = -0.974 eV per atom
Total DFT energy (no corrections) = -6.5431 eV per atom
DOS at the Fermi energy = 39.3 states/eV/cell

Cell lengths 6.9980, 8.9060, 8.9060 Å; angles 101.50, 90.00, 90.00 degrees
Element x y z (fractional)
U 0.4788 0.9207 0.7247
U 0.9788 0.7247 0.9207
U 0.3820 0.4005 0.5995
U 0.8820 0.5995 0.4005
U 0.9788 0.0793 0.2753
U 0.4788 0.2753 0.0793
Cd 0.0121 0.2035 0.7965
Cd 0.5121 0.7965 0.2035
Se 0.1801 0.6970 0.6276
Se 0.6801 0.6276 0.6970
Se 0.2214 0.4551 0.9091
Se 0.7214 0.9091 0.4551
Se 0.1915 0.0265 0.9735
Se 0.6390 0.2269 0.7731
Se 0.1390 0.7731 0.2269
Se 0.6915 0.9735 0.0265
Se 0.2214 0.0909 0.5449
Se 0.7214 0.5449 0.0909
Se 0.1801 0.3724 0.3030
Se 0.6801 0.3030 0.3724